! Fe2PtO2, relaxed, DFT GGA+U; values from VASP
! E: -58.33 eV for the cell shown
! Total moment: 7.9 μB/f.u.
&SYSTEM
  ibrav = 0, nat = 10, ntyp = 3
/
ATOMIC_SPECIES
O 16.00 O.upf
Fe 55.84 Fe.upf
Pt 195.08 Pt.upf
ATOMIC_POSITIONS angstrom
O -3.956 -3.536 -2.451
O -3.994 -1.618 -5.288
O -1.677 0.484 -3.898
O -1.639 -1.433 -1.060
Fe -3.920 -2.146 -0.666
Fe -5.507 -2.149 -3.691
Fe -3.825 0.690 -4.576
Fe -2.238 0.693 -1.551
Pt 0.000 0.000 0.000
Pt -2.816 -1.526 -3.174
CELL_PARAMETERS angstrom
-1.639 1.897 -5.864
-3.993 -4.949 -0.485
-2.112 1.596 1.107